1.
Compound: TiCuS3
Source: Alexandria
Functional: GGA-PBE
Structure: relaxed

Output
* total DFT energy (no corrections): -5.610 eV/atom
* calculated volume: 17.39 A^3/atom
* energy relative to the elements, uncorrected: -736 meV per atom
* magnetic moment: 0.0000 μB/atom
* space-group type: R-3 (148)
* ρ: 3.97 Mg/m³

Cell: 6.0559 6.0559 6.4955 Å, 62.21 62.21 60.00°
Fractional positions:
Ti  0.8336  0.8336  0.4993
Ti  0.1664  0.1664  0.5007
Cu  0.6540  0.6540  0.0379
Cu  0.3460  0.3460  0.9621
S  0.2464  0.9285  0.2499
S  0.9285  0.5752  0.2499
S  0.5752  0.2464  0.2499
S  0.7536  0.0715  0.7501
S  0.0715  0.4248  0.7501
S  0.4248  0.7536  0.7501


2.
Compound: Ti3CuS4
Source: Alexandria
Functional: GGA-PBE
Structure: relaxed

Output
* total DFT energy (no corrections): -6.448 eV/atom
* calculated volume: 18.85 A^3/atom
* energy relative to the elements, uncorrected: -912 meV per atom
* magnetic moment: 0.0000 μB/atom
* space-group type: Pmn2_1 (31)
* ρ: 3.69 Mg/m³

Cell: 6.0485 6.5425 7.6223 Å, 90.00 90.00 90.00°
Fractional positions:
Ti  0.4772  0.7390  0.0000
Ti  0.0419  0.6376  0.2794
Ti  0.5419  0.3624  0.2206
Ti  0.9772  0.2610  0.5000
Ti  0.5419  0.3624  0.7794
Ti  0.0419  0.6376  0.7206
Cu  0.9535  0.1706  0.0000
Cu  0.4535  0.8294  0.5000
S  0.0991  0.8129  0.0000
S  0.5924  0.1128  0.0000
S  0.1547  0.2940  0.2287
S  0.6547  0.7060  0.2713
S  0.0924  0.8872  0.5000
S  0.5991  0.1871  0.5000
S  0.6547  0.7060  0.7287
S  0.1547  0.2940  0.7713


3.
Compound: Ti2CuS
Source: Alexandria
Functional: GGA-PBE
Structure: relaxed

Output
* total DFT energy (no corrections): -6.355 eV/atom
* calculated volume: 15.49 A^3/atom
* energy relative to the elements, uncorrected: -352 meV per atom
* magnetic moment: 0.0000 μB/atom
* space-group type: I-42d (122)
* ρ: 5.13 Mg/m³

Cell: 6.6739 6.6739 5.4786 Å, 52.48 52.48 90.00°
Fractional positions:
S  0.5000  0.5000  0.0000
S  0.2500  0.7500  0.5000
Cu  0.0000  0.0000  0.0000
Cu  0.7500  0.2500  0.5000
Ti  0.6018  0.1250  0.2500
Ti  0.1482  0.6250  0.2500
Ti  0.3750  0.3982  0.7500
Ti  0.8750  0.8518  0.7500


4.
Compound: Ti3CuS
Source: Alexandria
Functional: GGA-PBE
Structure: relaxed

Output
* total DFT energy (no corrections): -5.828 eV/atom
* calculated volume: 19.51 A^3/atom
* energy relative to the elements, uncorrected: 554 meV per atom
* magnetic moment: 0.5069 μB/atom
* energy above the most stable polymorph in this dataset: 0.759 eV per atom
* space-group type: Pm-3m (221)
* ρ: 4.07 Mg/m³

Cell: 4.6036 4.6036 4.6036 Å, 90.00 90.00 90.00°
Fractional positions:
S  0.5000  0.5000  0.5000
Cu  0.0000  0.0000  0.0000
Ti  0.0000  0.5000  0.0000
Ti  0.0000  0.0000  0.5000
Ti  0.5000  0.0000  0.0000


5.
Compound: TiCu5S6
Source: Alexandria
Functional: GGA-PBE
Structure: relaxed

Output
* total DFT energy (no corrections): -4.756 eV/atom
* calculated volume: 15.46 A^3/atom
* energy relative to the elements, uncorrected: -328 meV per atom
* magnetic moment: 0.0000 μB/atom
* space-group type: C2/m (12)
* ρ: 4.99 Mg/m³

Cell: 6.0933 6.2853 6.0356 Å, 58.62 79.79 70.10°
Fractional positions:
Ti  0.0000  0.0000  0.0000
Cu  0.5000  0.1437  0.7126
Cu  0.0000  0.3218  0.3564
Cu  0.5000  0.5000  0.0000
Cu  0.0000  0.6782  0.6436
Cu  0.5000  0.8563  0.2874
S  0.7331  0.0576  0.3264
S  0.2669  0.6160  0.3264
S  0.2103  0.2853  0.0000
S  0.7897  0.7147  0.0000
S  0.7331  0.3840  0.6736
S  0.2669  0.9424  0.6736


6.
Compound: Ti3CuS6
Source: Alexandria
Functional: GGA-PBE
Structure: relaxed

Output
* total DFT energy (no corrections): -6.291 eV/atom
* calculated volume: 17.02 A^3/atom
* energy relative to the elements, uncorrected: -1036 meV per atom
* magnetic moment: 0.0960 μB/atom
* space-group type: Cmc2_1 (36)
* ρ: 3.90 Mg/m³

Cell: 5.9424 7.6448 7.6448 Å, 101.45 90.00 90.00°
Fractional positions:
Ti  0.4890  0.9249  0.7264
Ti  0.9890  0.7264  0.9249
Ti  0.3766  0.4006  0.5994
Ti  0.8766  0.5994  0.4006
Ti  0.9890  0.0751  0.2736
Ti  0.4890  0.2736  0.0751
Cu  0.0162  0.2203  0.7797
Cu  0.5162  0.7797  0.2203
S  0.1806  0.6986  0.6289
S  0.6806  0.6289  0.6986
S  0.2281  0.4598  0.9007
S  0.7281  0.9007  0.4598
S  0.1587  0.0377  0.9623
S  0.6383  0.2269  0.7731
S  0.1383  0.7731  0.2269
S  0.6587  0.9623  0.0377
S  0.2281  0.0993  0.5402
S  0.7281  0.5402  0.0993
S  0.1806  0.3711  0.3014
S  0.6806  0.3014  0.3711


7.
Compound: TiCu3S
Source: Alexandria
Functional: GGA-PBE
Structure: relaxed

Output
* total DFT energy (no corrections): -4.330 eV/atom
* calculated volume: 16.08 A^3/atom
* energy relative to the elements, uncorrected: 532 meV per atom
* magnetic moment: 0.0821 μB/atom
* energy above the most stable polymorph in this dataset: 0.000 eV per atom
* space-group type: Pm-3m (221)
* ρ: 5.59 Mg/m³

Cell: 4.3164 4.3164 4.3164 Å, 90.00 90.00 90.00°
Fractional positions:
S  0.0000  0.0000  0.0000
Cu  0.0000  0.5000  0.0000
Cu  0.0000  0.0000  0.5000
Cu  0.5000  0.0000  0.0000
Ti  0.5000  0.5000  0.5000


8.
Compound: TiCu5S5
Source: Alexandria
Functional: GGA-PBE
Structure: relaxed

Output
* total DFT energy (no corrections): -4.739 eV/atom
* calculated volume: 15.97 A^3/atom
* energy relative to the elements, uncorrected: -283 meV per atom
* magnetic moment: 0.0000 μB/atom
* space-group type: C2/m (12)
* ρ: 4.97 Mg/m³

Cell: 4.6110 6.1676 7.1928 Å, 110.48 90.00 111.95°
Fractional positions:
Ti  0.0000  0.0000  0.0000
Cu  0.6125  0.2249  0.4425
Cu  0.6438  0.2876  0.8241
Cu  0.0000  0.0000  0.5000
Cu  0.3562  0.7124  0.1759
Cu  0.3875  0.7751  0.5575
S  0.8306  0.6611  0.1305
S  0.8531  0.7061  0.6370
S  0.5000  0.0000  0.0000
S  0.1469  0.2939  0.3630
S  0.1694  0.3389  0.8695


9.
Compound: TiCu3S
Source: Alexandria
Functional: GGA-PBE
Structure: relaxed

Output
* total DFT energy (no corrections): -3.456 eV/atom
* calculated volume: 20.26 A^3/atom
* energy relative to the elements, uncorrected: 1406 meV per atom
* magnetic moment: 0.2685 μB/atom
* energy above the most stable polymorph in this dataset: 0.874 eV per atom
* space-group type: Pm-3m (221)
* ρ: 4.44 Mg/m³

Cell: 4.6617 4.6617 4.6617 Å, 90.00 90.00 90.00°
Fractional positions:
S  0.5000  0.5000  0.5000
Cu  0.0000  0.5000  0.0000
Cu  0.0000  0.0000  0.5000
Cu  0.5000  0.0000  0.0000
Ti  0.0000  0.0000  0.0000


10.
Compound: Ti2CuS2
Source: Alexandria
Functional: GGA-PBE
Structure: relaxed

Output
* total DFT energy (no corrections): -6.417 eV/atom
* calculated volume: 14.20 A^3/atom
* energy relative to the elements, uncorrected: -789 meV per atom
* magnetic moment: 0.0000 μB/atom
* space-group type: P4/mbm (127)
* ρ: 5.22 Mg/m³

Cell: 6.7492 6.7492 3.1179 Å, 90.00 90.00 90.00°
Fractional positions:
S  0.3509  0.8509  0.0000
S  0.8509  0.6491  0.0000
S  0.6491  0.1491  0.0000
S  0.1491  0.3509  0.0000
Cu  0.0000  0.0000  0.0000
Cu  0.5000  0.5000  0.0000
Ti  0.1468  0.6468  0.5000
Ti  0.6468  0.8532  0.5000
Ti  0.8532  0.3532  0.5000
Ti  0.3532  0.1468  0.5000


11.
Compound: TiCu3S4
Source: Alexandria
Functional: GGA-PBE
Structure: relaxed

Output
* total DFT energy (no corrections): -5.187 eV/atom
* calculated volume: 18.77 A^3/atom
* energy relative to the elements, uncorrected: -600 meV per atom
* magnetic moment: 0.0000 μB/atom
* space-group type: I-42m (121)
* ρ: 4.06 Mg/m³

Cell: 5.3021 5.3021 6.5255 Å, 113.97 113.97 90.00°
Fractional positions:
Ti  0.0000  0.0000  0.0000
Cu  0.5000  0.5000  0.0000
Cu  0.7500  0.2500  0.5000
Cu  0.2500  0.7500  0.5000
S  0.3749  0.3749  0.2502
S  0.8753  0.8753  0.2502
S  0.1247  0.6251  0.7498
S  0.6251  0.1247  0.7498


12.
Compound: TiCuS3
Source: Alexandria
Functional: GGA-PBE
Structure: relaxed

Output
* total DFT energy (no corrections): -4.967 eV/atom
* calculated volume: 20.63 A^3/atom
* energy relative to the elements, uncorrected: -92 meV per atom
* magnetic moment: 0.0002 μB/atom
* space-group type: Pm-3m (221)
* ρ: 3.34 Mg/m³

Cell: 4.6899 4.6899 4.6899 Å, 90.00 90.00 90.00°
Fractional positions:
Ti  0.0000  0.0000  0.0000
Cu  0.5000  0.5000  0.5000
S  0.0000  0.5000  0.0000
S  0.0000  0.0000  0.5000
S  0.5000  0.0000  0.0000